Sr3HfPd GGA-PBE optimized geometry; space-group type = Pm-3m (221); N(E_F) = 1.937 states/eV/atom; spin magnetization = 1.83 μB per cell; theoretical density = 4589 kg/m³; ΔE to the lowest computed polymorph = 0 meV/atom; energy of formation from the pure elements = 0.420 eV/atom
1.0
5.831 0.000 0.000
0.000 5.831 0.000
0.000 0.000 5.831
Sr Hf Pd
3 1 1
Direct
0.000 0.500 0.000
0.000 0.000 0.500
0.500 0.000 0.000
0.500 0.500 0.500
0.000 0.000 0.000


BaCaP2O7 GGA-PBE optimized geometry; formation energy (no corrections) = -2772 meV/atom; space-group type = P2_1/c (14); N(E_F) = 0.000 states/eV/atom; spin magnetization = 0.00 μB per cell; theoretical density = 3668 kg/m³
1.0
9.679 0.000 -0.007
0.000 10.775 0.000
-1.055 0.000 12.202
Ba Ca O P
8 8 56 16
Direct
0.591 0.695 0.657
0.909 0.195 0.343
0.409 0.305 0.343
0.091 0.805 0.657
0.780 0.986 0.915
0.720 0.486 0.085
0.220 0.014 0.085
0.280 0.514 0.915
0.672 0.348 0.780
0.828 0.848 0.220
0.328 0.652 0.220
0.172 0.152 0.780
0.489 0.923 0.347
0.011 0.423 0.653
0.511 0.077 0.653
0.989 0.577 0.347
0.671 0.298 0.447
0.829 0.798 0.553
0.329 0.702 0.553
0.171 0.202 0.447
0.760 0.425 0.622
0.740 0.925 0.378
0.240 0.575 0.378
0.260 0.075 0.622
0.889 0.427 0.453
0.611 0.927 0.547
0.111 0.573 0.547
0.389 0.073 0.453
0.653 0.535 0.462
0.847 0.035 0.538
0.347 0.465 0.538
0.153 0.965 0.462
0.531 0.715 0.378
0.969 0.215 0.622
0.469 0.285 0.622
0.031 0.785 0.378
0.754 0.637 0.296
0.746 0.137 0.704
0.246 0.363 0.704
0.254 0.863 0.296
0.530 0.517 0.268
0.970 0.017 0.732
0.470 0.483 0.732
0.030 0.983 0.268
0.007 0.598 0.777
0.493 0.098 0.223
0.993 0.402 0.223
0.507 0.902 0.777
0.837 0.771 0.809
0.663 0.271 0.191
0.163 0.229 0.191
0.337 0.729 0.809
0.762 0.548 0.836
0.738 0.048 0.164
0.238 0.452 0.164
0.262 0.952 0.836
0.942 0.634 0.970
0.558 0.134 0.030
0.058 0.366 0.030
0.442 0.866 0.970
0.180 0.704 0.055
0.320 0.204 0.945
0.820 0.296 0.945
0.680 0.796 0.055
0.972 0.677 0.168
0.528 0.177 0.832
0.028 0.323 0.832
0.472 0.823 0.168
0.982 0.860 0.040
0.518 0.360 0.960
0.018 0.140 0.960
0.482 0.640 0.040
0.745 0.411 0.497
0.755 0.911 0.503
0.255 0.589 0.503
0.245 0.089 0.497
0.617 0.606 0.344
0.883 0.106 0.656
0.383 0.394 0.656
0.117 0.894 0.344
0.884 0.639 0.841
0.616 0.139 0.159
0.116 0.361 0.159
0.384 0.861 0.841
0.025 0.725 0.061
0.475 0.225 0.939
0.975 0.275 0.939
0.525 0.775 0.061


IrPb2W GGA-PBE optimized geometry; space-group type = Pmmm (47); N(E_F) = 0.914 states/eV/atom; spin magnetization = 0.00 μB per cell; theoretical density = 16674 kg/m³; ΔE to the lowest computed polymorph = 677 meV/atom; energy of formation from the pure elements = 0.962 eV/atom
1.0
3.202 0.000 0.000
0.000 3.670 0.000
0.000 0.000 6.701
Ir Pb W
1 2 1
Direct
0.500 0.500 0.750
0.000 0.000 0.997
0.000 0.000 0.503
0.500 0.500 0.250


Cs2ZnPCl6 GGA-PBE optimized geometry; formation energy (no corrections) = -1174 meV/atom; space-group type = I4/mmm (139); N(E_F) = 0.000 states/eV/atom; spin magnetization = 1.00 μB per cell; theoretical density = 3138 kg/m³
1.0
7.381 0.000 0.000
0.000 7.381 0.000
3.690 3.690 5.585
Cs P Zn Cl
2 1 1 6
Direct
0.750 0.250 0.500
0.250 0.750 0.500
0.500 0.500 0.000
0.000 0.000 0.000
0.197 0.197 0.605
0.803 0.803 0.395
0.269 0.269 0.000
0.731 0.731 0.000
0.731 0.269 0.000
0.269 0.731 0.000


AcThGa2Ge2 GGA-PBE optimized geometry; space-group type = P-3m1 (164); N(E_F) = 0.450 states/eV/atom; spin magnetization = 0.00 μB per cell; theoretical density = 8427 kg/m³; energy of formation from the pure elements = -0.609 eV/atom
1.0
4.320 0.000 0.000
-2.160 3.741 0.000
0.000 0.000 9.069
Ac Th Ga Ge
1 1 2 2
Direct
0.000 0.000 0.000
0.000 0.000 0.500
0.667 0.333 0.231
0.333 0.667 0.769
0.667 0.333 0.706
0.333 0.667 0.294


LiLaPuGa GGA-PBE optimized geometry; space-group type = F-43m (216); N(E_F) = 2.193 states/eV/atom; spin magnetization = 6.53 μB per cell; theoretical density = 7513 kg/m³; energy of formation from the pure elements = -0.086 eV/atom
1.0
5.237 0.000 0.000
2.619 4.536 0.000
2.619 1.512 4.276
La Li Ga Pu
1 1 1 1
Direct
0.000 0.000 0.000
0.750 0.750 0.750
0.250 0.250 0.250
0.500 0.500 0.500